Crystalline SmGdB2P2Ir2 at its relaxed geometry, computed with PBE-GGA.

Raw total energy in eV for the cell shown: -58.9
Total moment in Bohr magnetons per cell: 0.003
Calculated volume in Å³/atom: 16.49

Cell: 3.9712 3.9712 8.3652 Å, 90.00 90.00 90.00°
Last column: nearest neighbours and their distance in Å.
Space group P4mm (No. 99)
One atom of each set of equivalent atoms:
Sm1 0.0000 0.0000 0.0000 (multiplicity 1)  5 P 2.84-2.89
Gd1 0.5000 0.5000 0.6111 (multiplicity 1)  5 P 2.83-2.86
B1 0.0000 0.0000 0.4164 (multiplicity 1)  1 P 1.99, 4 Ir 2.19
B2 0.5000 0.5000 0.1925 (multiplicity 1)  1 P 2.00, 4 Ir 2.20
P1 0.0000 0.0000 0.6543 (multiplicity 1)  1 B 1.99
P2 0.5000 0.5000 0.9529 (multiplicity 1)  1 B 2.00
Ir1 0.0000 0.5000 0.3054 (multiplicity 2)  4 B 2.19-2.20